Run A
# PBE-GGA BaLiLa2Co, relaxed
# size of the total moment: 0.0 μB per cell
data_BaLiLa2Co
_chemical_formula_sum 'Ba1 Li1 La2 Co1'
_cell_length_a 5.293
_cell_length_b 5.293
_cell_length_c 5.873
_cell_angle_alpha 90.00
_cell_angle_beta 90.00
_cell_angle_gamma 90.00
_space_group_name_H-M_alt 'P 4/m m m'
_space_group_IT_number 123
_space_group_name_Hall '-P 4 2'
loop_
_atom_site_label
_atom_site_type_symbol
_atom_site_fract_x
_atom_site_fract_y
_atom_site_fract_z
Ba1 Ba 0.000 0.000 0.000
Li1 Li 0.500 0.500 0.000
La1 La 0.000 0.500 0.500
Co1 Co 0.500 0.500 0.500

Run B
# PBE-GGA BaLiLa2Co, relaxed
# size of the total moment: 0.0 μB per cell
data_BaLiLa2Co
_chemical_formula_sum 'Ba1 Li1 La2 Co1'
_cell_length_a 5.311
_cell_length_b 5.311
_cell_length_c 6.361
_cell_angle_alpha 90.00
_cell_angle_beta 90.00
_cell_angle_gamma 90.00
_space_group_name_H-M_alt 'P 4/m m m'
_space_group_IT_number 123
_space_group_name_Hall '-P 4 2'
loop_
_atom_site_label
_atom_site_type_symbol
_atom_site_fract_x
_atom_site_fract_y
_atom_site_fract_z
Ba1 Ba 0.000 0.000 0.000
Li1 Li 0.500 0.500 0.000
La1 La 0.000 0.500 0.500
Co1 Co 0.000 0.000 0.500

Ordering by calculated energy gives the sequence run B, run A, with the first entry being the most stable.

Run A
# PBE-GGA BaLa2MgCo, relaxed
# size of the total moment: 0.0 μB per cell
data_BaLa2MgCo
_chemical_formula_sum 'Ba1 La2 Mg1 Co1'
_cell_length_a 5.427
_cell_length_b 5.427
_cell_length_c 5.496
_cell_angle_alpha 90.00
_cell_angle_beta 90.00
_cell_angle_gamma 90.00
_space_group_name_H-M_alt 'P 4/m m m'
_space_group_IT_number 123
_space_group_name_Hall '-P 4 2'
loop_
_atom_site_label
_atom_site_type_symbol
_atom_site_fract_x
_atom_site_fract_y
_atom_site_fract_z
Ba1 Ba 0.000 0.000 0.000
La1 La 0.000 0.500 0.500
Mg1 Mg 0.500 0.500 0.000
Co1 Co 0.500 0.500 0.500

Run B
# PBE-GGA BaLa2MgCo, relaxed
# size of the total moment: 0.0 μB per cell
data_BaLa2MgCo
_chemical_formula_sum 'Ba1 La2 Mg1 Co1'
_cell_length_a 5.341
_cell_length_b 5.341
_cell_length_c 6.103
_cell_angle_alpha 90.00
_cell_angle_beta 90.00
_cell_angle_gamma 90.00
_space_group_name_H-M_alt 'P 4/m m m'
_space_group_IT_number 123
_space_group_name_Hall '-P 4 2'
loop_
_atom_site_label
_atom_site_type_symbol
_atom_site_fract_x
_atom_site_fract_y
_atom_site_fract_z
Ba1 Ba 0.000 0.000 0.000
La1 La 0.000 0.500 0.500
Mg1 Mg 0.500 0.500 0.000
Co1 Co 0.000 0.000 0.500

Ordering by calculated energy gives the sequence run A, run B, with the first entry being the most stable.

Run A
# PBE-GGA BaNaLa2Co, relaxed
# size of the total moment: 0.0 μB per cell
data_BaNaLa2Co
_chemical_formula_sum 'Ba1 Na1 La2 Co1'
_cell_length_a 5.376
_cell_length_b 5.376
_cell_length_c 6.467
_cell_angle_alpha 90.00
_cell_angle_beta 90.00
_cell_angle_gamma 90.00
_space_group_name_H-M_alt 'P 4/m m m'
_space_group_IT_number 123
_space_group_name_Hall '-P 4 2'
loop_
_atom_site_label
_atom_site_type_symbol
_atom_site_fract_x
_atom_site_fract_y
_atom_site_fract_z
Ba1 Ba 0.000 0.000 0.000
Na1 Na 0.500 0.500 0.000
La1 La 0.000 0.500 0.500
Co1 Co 0.000 0.000 0.500

Run B
# PBE-GGA BaNaLa2Co, relaxed
# size of the total moment: 0.0 μB per cell
data_BaNaLa2Co
_chemical_formula_sum 'Ba1 Na1 La2 Co1'
_cell_length_a 5.320
_cell_length_b 5.320
_cell_length_c 6.298
_cell_angle_alpha 90.00
_cell_angle_beta 90.00
_cell_angle_gamma 90.00
_space_group_name_H-M_alt 'P 4/m m m'
_space_group_IT_number 123
_space_group_name_Hall '-P 4 2'
loop_
_atom_site_label
_atom_site_type_symbol
_atom_site_fract_x
_atom_site_fract_y
_atom_site_fract_z
Ba1 Ba 0.000 0.000 0.000
Na1 Na 0.500 0.500 0.000
La1 La 0.000 0.500 0.500
Co1 Co 0.500 0.500 0.500

Ordering by calculated energy gives the sequence run A, run B, with the first entry being the most stable.